Tb2ErAl3CuGe2: relaxed, PBE.

abc: 4.170 7.002 7.002
angles: 119.97 90.00 90.00
Atoms (fractional coordinates):
Tb1 0.000 0.201 0.799
Tb2 0.000 0.799 0.201
Er1 0.000 0.604 0.604
Al1 0.500 0.202 0.434
Al2 0.500 0.434 0.202
Al3 0.500 0.969 0.969
Cu1 0.000 0.203 0.203
Ge1 0.500 0.535 0.868
Ge2 0.500 0.868 0.535

energy	-4.8851	eV/atom
density	7.3	g/cm³